Entry 1:
The following is a DFT calculation (PBE) of crystalline LaSm8Ho2 at its relaxed geometry.

a = 9.445 Å, b = 9.445 Å, c = 9.445 Å
α = 145.24°, β = 127.84°, γ = 64.22°
Fractional positions:
La 0.000 0.000 0.000
Sm 0.156 0.860 0.296
Sm 0.164 0.664 0.500
Sm 0.296 0.500 0.796
Sm 0.436 0.140 0.296
Sm 0.564 0.860 0.704
Sm 0.704 0.500 0.204
Sm 0.836 0.336 0.500
Sm 0.844 0.140 0.704
Ho 0.300 0.300 0.000
Ho 0.700 0.700 0.000

energy relative to the lowest polymorph listed for this composition = 0.00 eV/f.u.
uncorrected energy = -4.60 eV/atom
magnetization = 0.0 μB/f.u.

***

Entry 2:
The following is a DFT calculation (PBE) of crystalline La3Sm2Ho6 at its relaxed geometry.

a = 6.219 Å, b = 6.219 Å, c = 11.661 Å
α = 95.15°, β = 95.15°, γ = 120.16°
Fractional positions:
La 0.000 0.000 0.000
La 0.336 0.664 0.000
La 0.664 0.336 0.000
Sm 0.166 0.834 0.500
Sm 0.834 0.166 0.500
Ho 0.086 0.418 0.254
Ho 0.250 0.250 0.747
Ho 0.418 0.086 0.254
Ho 0.582 0.914 0.746
Ho 0.750 0.750 0.253
Ho 0.914 0.582 0.746

uncorrected energy = -4.51 eV/atom
magnetization = 0.0 μB/f.u.

***

Number 1: energy relative to the elements 113 meV per atom. Number 2: energy relative to the elements 194 meV per atom.